#1
First-principles (PBE-GGA) data for an optimized crystal structure of CaPmPrTh, as listed in Alexandria via LeMat-Bulk.

Structure (POSCAR):
```
CaPmPrTh
1.0
3.686 0.000 0.000
0.000 3.686 0.000
0.000 0.000 10.594
Ca Pm Pr Th
1 1 1 1
Cartesian
0.000 0.000 0.000
1.843 1.843 7.728
1.843 1.843 2.928
0.000 0.000 5.348
```

Results
The density is 6.44 g/cm³. Its symmetry is P4mm, No. 99.

#2
First-principles (PBE-GGA) data for an optimized crystal structure of CaPmPrTh, as listed in Alexandria via LeMat-Bulk.

Structure (POSCAR):
```
CaPmPrTh
1.0
0.000 4.128 4.128
4.128 0.000 4.128
4.128 4.128 0.000
Ca Pm Pr Th
1 1 1 1
Cartesian
0.000 0.000 0.000
6.191 6.191 6.191
2.064 2.064 2.064
4.128 4.128 4.128
```

Results
The density is 6.59 g/cm³. Its symmetry is F-43m, No. 216.

Least stable: #2

#1
First-principles (PBE-GGA) data for an optimized crystal structure of CaPmPrTm, as listed in Alexandria via LeMat-Bulk.

Structure (POSCAR):
```
CaPmPrTm
1.0
0.000 4.120 4.120
4.120 0.000 4.120
4.120 4.120 0.000
Ca Pm Pr Tm
1 1 1 1
Cartesian
0.000 0.000 0.000
2.060 2.060 2.060
6.181 6.181 6.181
4.120 4.120 4.120
```

Results
The density is 5.87 g/cm³. Its symmetry is F-43m, No. 216.

#2
First-principles (PBE-GGA) data for an optimized crystal structure of CaPmPrTm, as listed in Alexandria via LeMat-Bulk.

Structure (POSCAR):
```
CaPmPrTm
1.0
3.660 0.000 0.000
0.000 3.660 0.000
0.000 0.000 10.479
Ca Pm Pr Tm
1 1 1 1
Cartesian
0.000 0.000 0.000
1.830 1.830 7.702
1.830 1.830 2.821
0.000 0.000 5.290
```

Results
The density is 5.85 g/cm³. Its symmetry is P4mm, No. 99.

Least stable: #1

#1
First-principles (PBE-GGA) data for an optimized crystal structure of CaPmPrY, as listed in Alexandria via LeMat-Bulk.

Structure (POSCAR):
```
CaPmPrY
1.0
3.675 0.000 0.000
0.000 3.675 0.000
0.000 0.000 10.596
Ca Pm Pr Y
1 1 1 1
Cartesian
0.000 0.000 0.000
1.837 1.837 7.820
1.837 1.837 2.823
0.000 0.000 5.351
```

Results
The density is 4.81 g/cm³. Its symmetry is P4mm, No. 99.

#2
First-principles (PBE-GGA) data for an optimized crystal structure of CaPmPrY, as listed in Alexandria via LeMat-Bulk.

Structure (POSCAR):
```
CaPmPrY
1.0
0.000 4.148 4.148
4.148 0.000 4.148
4.148 4.148 0.000
Ca Pm Pr Y
1 1 1 1
Cartesian
0.000 0.000 0.000
6.223 6.223 6.223
2.074 2.074 2.074
4.148 4.148 4.148
```

Results
The density is 4.83 g/cm³. Its symmetry is F-43m, No. 216.

Least stable: #2

#1
First-principles (PBE-GGA) data for an optimized crystal structure of CaPmPt2, as listed in Alexandria via LeMat-Bulk.

Structure (POSCAR):
```
CaPmPt2
1.0
0.000 3.534 3.534
3.534 0.000 3.534
3.534 3.534 0.000
Ca Pm Pt
1 1 2
Cartesian
0.000 0.000 0.000
3.534 3.534 3.534
1.767 1.767 1.767
5.301 5.301 5.301
```

Results
The density is 10.82 g/cm³. Its symmetry is Fm-3m, No. 225.

#2
First-principles (PBE-GGA) data for an optimized crystal structure of CaPmPt2, as listed in Alexandria via LeMat-Bulk.

Structure (POSCAR):
```
CaPmPt2
1.0
3.947 0.000 0.000
0.000 4.420 0.000
-1.966 0.000 5.404
Ca Pm Pt
1 1 2
Cartesian
0.000 0.000 0.000
1.977 2.210 2.366
0.008 0.000 2.989
0.006 2.210 4.771
```

Results
The density is 10.13 g/cm³. Its symmetry is Pm, No. 6.

Least stable: #1